# GGA-PBE Ti8Zn2Co3, optimized geometry
data_Ti8Zn2Co3
_symmetry_space_group_name_H-M 'C 1 2/m 1'
_symmetry_Int_Tables_number 12
_symmetry_space_group_name_Hall '-C 2y'
_cell_length_a 12.148
_cell_length_b 6.558
_cell_length_c 5.260
_cell_angle_alpha 90.00
_cell_angle_beta 91.59
_cell_angle_gamma 90.00
loop_
_atom_site_label
_atom_site_fract_x
_atom_site_fract_y
_atom_site_fract_z
Ti1 0.097 0.000 0.137
Ti2 0.104 0.208 0.659
Ti3 0.180 0.500 0.099
Zn1 0.235 0.500 0.582
Co1 0.000 0.315 0.000
Co2 0.000 0.500 0.500
# Total magnetic moment, μB per atom: 0.00
# ΔH_f (0 K), kJ/mol of formula units: 81
# Energy, eV per atom: -6.630
# Crystal system: monoclinic

---

# GGA-PBE Sc2InBr, optimized geometry
data_Sc2InBr
_symmetry_space_group_name_H-M 'F -4 3 m'
_symmetry_Int_Tables_number 216
_symmetry_space_group_name_Hall 'F -4 2 3'
_cell_length_a 7.334
_cell_length_b 7.334
_cell_length_c 7.334
_cell_angle_alpha 90.00
_cell_angle_beta 90.00
_cell_angle_gamma 90.00
loop_
_atom_site_label
_atom_site_fract_x
_atom_site_fract_y
_atom_site_fract_z
Sc1 0.000 0.000 0.000
Sc2 0.250 0.250 0.250
In1 0.250 0.250 0.750
Br1 0.000 0.000 0.500
# Total magnetic moment, μB per atom: 0.00
# Relative energy among the computed polymorphs, meV per atom: 763
# Formation energy from raw total energies, eV/atom: 0.1526
# Energy, eV per atom: -4.116
# Crystal system: cubic

---

# GGA-PBE Dy4Zn2I5, optimized geometry
data_Dy4Zn2I5
_symmetry_space_group_name_H-M 'C 1 2/m 1'
_symmetry_Int_Tables_number 12
_symmetry_space_group_name_Hall '-C 2y'
_cell_length_a 24.171
_cell_length_b 4.001
_cell_length_c 8.457
_cell_angle_alpha 90.00
_cell_angle_beta 93.35
_cell_angle_gamma 90.00
loop_
_atom_site_label
_atom_site_fract_x
_atom_site_fract_y
_atom_site_fract_z
Dy1 0.028 0.000 0.295
Dy2 0.164 0.500 0.435
Zn1 0.052 0.500 0.532
I1 0.000 0.500 0.000
I2 0.147 0.000 0.159
I3 0.212 0.000 0.686
# Total magnetic moment, μB per atom: 0.00
# Formation energy from raw total energies, eV/atom: -0.7869
# Energy, eV per atom: -3.397
# Crystal system: monoclinic

---

# GGA-PBE P2Pb2O7, optimized geometry
data_P2Pb2O7
_symmetry_space_group_name_H-M 'P -1'
_symmetry_Int_Tables_number 2
_symmetry_space_group_name_Hall '-P 1'
_cell_length_a 7.093
_cell_length_b 7.175
_cell_length_c 13.002
_cell_angle_alpha 95.80
_cell_angle_beta 91.78
_cell_angle_gamma 90.28
loop_
_atom_site_label
_atom_site_fract_x
_atom_site_fract_y
_atom_site_fract_z
P1 0.097 0.288 0.098
P2 0.268 0.881 0.404
P3 0.326 0.688 0.595
P4 0.330 0.300 0.910
Pb1 0.146 0.378 0.369
Pb2 0.179 0.790 0.141
Pb3 0.250 0.183 0.645
Pb4 0.400 0.803 0.858
O1 0.069 0.450 0.181
O2 0.088 0.790 0.955
O3 0.104 0.748 0.365
O4 0.194 0.166 0.843
O5 0.200 0.516 0.557
O6 0.202 0.068 0.457
O7 0.208 0.837 0.658
O8 0.214 0.387 0.010
O9 0.225 0.136 0.137
O10 0.392 0.778 0.490
O11 0.395 0.466 0.856
O12 0.407 0.900 0.317
O13 0.494 0.362 0.348
O14 0.499 0.190 0.952
# Total magnetic moment, μB per atom: 0.00
# Relative energy among the computed polymorphs, meV per atom: 0
# Formation energy from raw total energies, eV/atom: -1.9738
# Energy, eV per atom: -6.787
# Crystal system: triclinic

---

# GGA-PBE Rb2MnI6Cl, optimized geometry
data_Rb2MnI6Cl
_symmetry_space_group_name_H-M 'I 4/m m m'
_symmetry_Int_Tables_number 139
_symmetry_space_group_name_Hall '-I 4 2'
_cell_length_a 8.214
_cell_length_b 8.214
_cell_length_c 12.306
_cell_angle_alpha 90.00
_cell_angle_beta 90.00
_cell_angle_gamma 90.00
loop_
_atom_site_label
_atom_site_fract_x
_atom_site_fract_y
_atom_site_fract_z
Rb1 0.000 0.500 0.250
Mn1 0.000 0.000 0.000
I1 0.000 0.000 0.217
I2 0.235 0.235 0.000
Cl1 0.000 0.000 0.500
# Total magnetic moment, μB per atom: 0.26
# Formation energy from raw total energies, eV/atom: -0.6846
# Energy, eV per atom: -2.910
# Crystal system: tetragonal

---

# GGA-PBE ScBeSn, optimized geometry
data_ScBeSn
_symmetry_space_group_name_H-M 'F -4 3 m'
_symmetry_Int_Tables_number 216
_symmetry_space_group_name_Hall 'F -4 2 3'
_cell_length_a 6.070
_cell_length_b 6.070
_cell_length_c 6.070
_cell_angle_alpha 90.00
_cell_angle_beta 90.00
_cell_angle_gamma 90.00
loop_
_atom_site_label
_atom_site_fract_x
_atom_site_fract_y
_atom_site_fract_z
Sc1 0.000 0.000 0.000
Be1 0.250 0.250 0.750
Sn1 0.000 0.000 0.500
# Total magnetic moment, μB per atom: 0.00
# ΔH_f (0 K), kJ/mol of formula units: -78
# Energy, eV per atom: -4.957
# Crystal system: cubic